# Fe2SiPt (PBE-GGA, optimized geometry)
# Energy relative to the elements, uncorrected, eV/atom: -0.228
data_Fe2SiPt
_chemical_formula_sum 'Fe4 Si2 Pt2'
_cell_length_a 8.111
_cell_length_b 2.794
_cell_length_c 4.676
_cell_angle_alpha 90.00
_cell_angle_beta 101.23
_cell_angle_gamma 90.00
_symmetry_space_group_name_H-M 'C 1 m 1'
_symmetry_Int_Tables_number 8
_symmetry_space_group_name_Hall 'C -2y'
loop_
_atom_site_label
_atom_site_fract_x
_atom_site_fract_y
_atom_site_fract_z
Fe1 0.000 0.000 0.000
Fe2 0.243 0.500 0.197
Si1 0.490 0.000 0.446
Pt1 0.241 0.000 0.695

=====

# FeMoRh6 (PBE-GGA, optimized geometry)
# Formation energy, eV per atom: -0.15
data_FeMoRh6
_chemical_formula_sum 'Fe1 Mo1 Rh6'
_cell_length_a 3.838
_cell_length_b 3.838
_cell_length_c 7.673
_cell_angle_alpha 90.00
_cell_angle_beta 90.00
_cell_angle_gamma 90.00
_symmetry_space_group_name_H-M 'P 4/m m m'
_symmetry_Int_Tables_number 123
_symmetry_space_group_name_Hall '-P 4 2'
loop_
_atom_site_label
_atom_site_fract_x
_atom_site_fract_y
_atom_site_fract_z
Fe1 0.000 0.000 0.000
Mo1 0.000 0.000 0.500
Rh1 0.000 0.500 0.250
Rh2 0.500 0.500 0.000
Rh3 0.500 0.500 0.500

=====

# Al2NiIr2 (PBE-GGA, optimized geometry)
# Formation energy, eV per atom: -0.44
data_Al2NiIr2
_chemical_formula_sum 'Al4 Ni2 Ir4'
_cell_length_a 7.035
_cell_length_b 7.035
_cell_length_c 2.931
_cell_angle_alpha 90.00
_cell_angle_beta 90.00
_cell_angle_gamma 90.00
_symmetry_space_group_name_H-M 'P 4/m b m'
_symmetry_Int_Tables_number 127
_symmetry_space_group_name_Hall '-P 4 2ab'
loop_
_atom_site_label
_atom_site_fract_x
_atom_site_fract_y
_atom_site_fract_z
Al1 0.154 0.346 0.000
Ni1 0.000 0.000 0.500
Ir1 0.145 0.645 0.500